[1]
A plane-wave DFT calculation with PBE was carried out for a geometry-optimized Y15Tm4Mg structure.

DOS at the Fermi energy = 29.1 states/eV per cell
energy relative to the elements = 0.0246 eV per atom

Cell lengths 5.007, 5.007, 25.104 Å; angles 90.00, 90.00, 90.00 degrees
Atoms (fractional coordinates):
Y 0.000 0.500 0.701
Y 0.500 0.500 0.601
Y 0.500 0.500 0.803
Y 0.500 0.500 0.399
Y 0.500 0.000 0.701
Y 0.500 0.500 0.000
Y 0.500 0.000 0.500
Y 0.000 0.500 0.901
Y 0.500 0.000 0.299
Y 0.500 0.000 0.901
Y 0.000 0.500 0.500
Y 0.500 0.500 0.197
Y 0.000 0.500 0.299
Y 0.000 0.500 0.099
Y 0.500 0.000 0.099
Tm 0.000 0.000 0.199
Tm 0.000 0.000 0.399
Tm 0.000 0.000 0.801
Tm 0.000 0.000 0.601
Mg 0.000 0.000 0.000

***

[2]
A plane-wave DFT calculation with PBE was carried out for a geometry-optimized InBi3Se structure.

DOS at the Fermi energy = 7.6 states/eV per cell
energy relative to the lowest polymorph listed for this composition = 0.000 eV per atom

Cell lengths 5.646, 5.646, 5.646 Å; angles 90.00, 90.00, 90.00 degrees
Atoms (fractional coordinates):
Se 0.000 0.000 0.000
Bi 0.000 0.000 0.500
Bi 0.000 0.500 0.000
Bi 0.500 0.000 0.000
In 0.500 0.500 0.500

***

[3]
A plane-wave DFT calculation with PBE was carried out for a geometry-optimized BeCu2Si structure.

DOS at the Fermi energy = 1.5 states/eV per cell
E = -4.202 eV/atom

Cell lengths 2.515, 2.515, 7.319 Å; angles 90.00, 90.00, 89.99 degrees
Atoms (fractional coordinates):
Cu 0.000 0.000 0.977
Cu 0.500 0.500 0.244
Be 0.500 0.500 0.768
Si 0.000 0.000 0.511

***

[4]
A plane-wave DFT calculation with PBE was carried out for a geometry-optimized AcTmZn3 structure.

DOS at the Fermi energy = 9.0 states/eV per cell
energy relative to the elements = -0.2851 eV per atom

Cell lengths 3.778, 4.616, 13.920 Å; angles 90.00, 97.80, 90.00 degrees
Atoms (fractional coordinates):
Zn 0.373 0.250 0.746
Zn 0.681 0.250 0.361
Zn 0.476 0.250 0.952
Zn 0.319 0.750 0.639
Zn 0.524 0.750 0.048
Zn 0.627 0.750 0.254
Tm 0.211 0.750 0.422
Tm 0.789 0.250 0.578
Ac 0.923 0.750 0.846
Ac 0.077 0.250 0.154

***

Question: What is the DOS at the Fermi energy in the fourth record?
Answer: 9.0 states/eV per cell

***

Copy entry 3 word for word.
A plane-wave DFT calculation with PBE was carried out for a geometry-optimized BeCu2Si structure.

DOS at the Fermi energy = 1.5 states/eV per cell
E = -4.202 eV/atom

Cell lengths 2.515, 2.515, 7.319 Å; angles 90.00, 90.00, 89.99 degrees
Atoms (fractional coordinates):
Cu 0.000 0.000 0.977
Cu 0.500 0.500 0.244
Be 0.500 0.500 0.768
Si 0.000 0.000 0.511

***

Question: What is the DOS at the Fermi energy in the second record?
Answer: 7.6 states/eV per cell